# CaGeI2, optimized geometry, DFT PBE
# symmetry: I-42d, No. 122
# formation energy (no corrections): -1.5 eV per formula unit
# crystal system: tetragonal
# energy relative to the lowest polymorph listed for this composition: 11 meV/atom
data_CaGeI2
_chemical_formula_sum 'Ca2 Ge2 I4'
_space_group_name_H-M_alt 'P 1'
_space_group_IT_number 1
_cell_length_a 5.540
_cell_length_b 5.540
_cell_length_c 10.563
_cell_angle_alpha 74.80
_cell_angle_beta 74.80
_cell_angle_gamma 90.00
loop_
_space_group_symop_operation_xyz
'x,y,z'
loop_
_atom_site_label
_atom_site_fract_x
_atom_site_fract_y
_atom_site_fract_z
I1 0.116 0.625 0.250
Ge1 0.000 0.000 0.000
Ca1 0.250 0.750 0.500
Ge2 0.750 0.250 0.500
Ca2 0.500 0.500 0.000
I2 0.634 0.125 0.250
I3 0.375 0.366 0.750
I4 0.875 0.884 0.750